1.
This record from Alexandria describes P7Cl after structural relaxation. The functional is GGA-PBE.

```
P7Cl
1.0
-2.722 -3.061 3.783
-0.979 2.073 5.083
-5.191 1.384 1.495
P Cl
7 1
Cartesian
-1.361 -1.531 1.892
-2.595 0.692 0.747
-0.489 1.037 2.541
-3.956 -0.839 2.639
-4.446 0.198 5.181
-3.085 1.729 3.289
-1.850 -0.494 4.433
0.000 0.000 0.000
```

=====

2.
This record from Alexandria describes PCl after structural relaxation. The functional is GGA-PBE.

```
PCl
1.0
-1.167 2.852 -0.406
-1.511 -2.472 -1.126
-4.277 -0.712 7.299
P Cl
2 2
Cartesian
-4.489 0.544 4.828
-2.466 -0.875 0.939
-2.138 -0.356 3.650
0.000 0.000 0.000
```

ΔE to the lowest computed polymorph: 1136 meV/atom

=====

3.
This record from Alexandria describes P2Cl after structural relaxation. The functional is GGA-PBE.

```
P2Cl
1.0
2.322 5.700 0.167
-2.322 5.700 0.167
0.000 4.009 6.178
P Cl
4 2
Cartesian
0.000 2.643 0.136
0.000 12.767 6.375
0.000 12.000 1.313
0.000 3.410 5.198
0.000 9.346 4.704
0.000 6.064 1.807
```

ΔE to the lowest computed polymorph: 329 meV/atom

=====

4.
This record from Alexandria describes P2Cl after structural relaxation. The functional is GGA-PBE.

```
P2Cl
1.0
-1.801 -0.557 5.248
-3.643 2.907 -3.061
0.579 -5.072 -2.243
P Cl
4 2
Cartesian
-0.811 -2.440 0.604
-4.055 -0.283 -0.660
-1.996 -1.926 -2.901
-2.870 -0.796 2.844
-4.084 1.762 1.640
-1.361 0.587 0.547
```

ΔE to the lowest computed polymorph: 847 meV/atom

=====

5.
This record from Alexandria describes PCl after structural relaxation. The functional is GGA-PBE.

```
PCl
1.0
7.363 0.097 0.003
5.303 5.108 -0.003
-6.085 -3.206 2.629
P Cl
2 2
Cartesian
0.136 1.723 1.970
6.445 0.276 0.659
4.698 2.486 0.657
1.883 -0.487 1.972
```

ΔE to the lowest computed polymorph: 595 meV/atom

=====

6.
This record from Alexandria describes PCl after structural relaxation. The functional is GGA-PBE.

```
PCl
1.0
-1.940 -1.833 5.017
4.288 -3.718 0.299
3.186 3.887 2.652
Cl P
4 4
Cartesian
2.038 -0.613 2.935
0.892 0.374 6.071
2.917 -3.875 3.778
5.219 0.786 3.153
2.845 0.790 5.643
0.890 -0.268 1.282
5.045 -1.172 3.705
2.286 -2.677 5.307
```

ΔE to the lowest computed polymorph: 945 meV/atom

=====

7.
This record from Alexandria describes PCl3 after structural relaxation. The functional is GGA-PBE.

```
PCl3
1.0
7.472 0.000 0.000
6.534 3.625 0.000
6.534 1.691 3.207
Cl P
3 1
Cartesian
10.270 2.659 1.604
14.975 3.876 2.338
5.565 1.441 0.869
0.000 0.000 0.000
```

=====

8.
This record from Alexandria describes PCl after structural relaxation. The functional is GGA-PBE.

```
PCl
1.0
3.806 0.000 -0.957
0.000 3.556 0.000
-2.153 0.000 8.251
P Cl
2 2
Cartesian
1.986 0.889 3.266
-0.333 2.667 4.027
1.409 0.889 1.281
0.244 2.667 6.013
```

ΔE to the lowest computed polymorph: 0 meV/atom

=====

9.
This record from Alexandria describes PCl after structural relaxation. The functional is GGA-PBE.

```
PCl
1.0
4.232 0.000 0.000
-2.116 3.665 0.000
0.000 0.000 22.344
P Cl
6 6
Cartesian
0.000 2.443 3.675
0.000 0.000 3.789
2.116 1.222 18.669
0.000 0.000 18.555
0.000 2.443 11.229
2.116 1.222 11.115
0.000 2.443 13.298
0.000 2.443 1.606
2.116 1.222 20.738
2.116 1.222 9.045
0.000 0.000 16.486
0.000 0.000 5.858
```

ΔE to the lowest computed polymorph: 77 meV/atom

=====

10.
This record from Alexandria describes PCl3 after structural relaxation. The functional is GGA-PBE.

```
PCl3
1.0
-1.262 -5.031 4.446
-0.760 -6.056 -3.067
3.753 5.370 1.935
Cl P
3 1
Cartesian
-0.037 -1.194 0.627
-0.603 -4.299 1.013
0.681 -2.610 3.383
1.510 -3.044 1.108
```

=====

11.
This record from Alexandria describes P2Cl after structural relaxation. The functional is GGA-PBE.

```
P2Cl
1.0
-1.773 2.144 -1.884
-1.981 -0.376 2.891
4.822 4.075 2.828
P Cl
2 1
Cartesian
0.141 0.332 0.435
-1.460 1.518 1.806
-0.436 3.129 2.568
```

ΔE to the lowest computed polymorph: 133 meV/atom

=====

12.
This record from Alexandria describes P5Cl after structural relaxation. The functional is GGA-PBE.

```
P5Cl
1.0
-4.059 3.462 4.106
0.052 -4.414 -5.083
0.086 -3.332 2.894
Cl P
1 5
Cartesian
0.025 -4.361 -5.020
-2.878 1.200 1.467
-0.658 -4.636 -1.951
-1.130 -2.148 -2.439
-1.413 -3.191 -0.265
-3.094 0.030 3.494
```

ΔE to the lowest computed polymorph: 197 meV/atom

=====

13.
This record from Alexandria describes PCl4 after structural relaxation. The functional is GGA-PBE.

```
PCl4
1.0
-4.936 4.936 1.613
4.936 -4.936 1.613
4.936 4.936 -1.613
Cl P
4 1
Cartesian
2.988 4.302 0.000
-0.634 1.948 1.613
5.570 2.988 0.000
1.948 0.634 1.613
0.000 0.000 0.000
```

ΔE to the lowest computed polymorph: 682 meV/atom

=====

14.
This record from Alexandria describes PCl after structural relaxation. The functional is GGA-PBE.

```
PCl
1.0
-3.525 -9.623 -8.155
-1.919 -7.959 10.222
-3.245 1.027 0.191
P Cl
8 8
Cartesian
-3.049 -3.881 -0.514
-3.912 -13.146 4.224
-1.517 -5.821 5.538
-5.085 -9.770 -3.447
-5.639 -12.675 2.773
-1.531 -4.437 -2.156
-3.603 -6.786 5.705
-3.926 -11.761 -3.470
-4.859 -9.435 -1.412
-2.859 -10.453 7.646
-3.643 -5.830 -0.128
-2.584 -7.130 -5.578
-4.807 -15.078 -0.589
-0.637 -2.505 2.657
-3.829 -7.121 3.670
-5.045 -10.726 2.386
```

ΔE to the lowest computed polymorph: 14 meV/atom

=====

15.
This record from Alexandria describes P2Cl after structural relaxation. The functional is GGA-PBE.

```
P2Cl
1.0
1.671 6.068 0.338
-1.671 6.068 0.338
0.000 4.157 9.023
P Cl
4 2
Cartesian
0.000 11.594 2.569
0.000 5.021 0.759
0.000 11.273 8.941
0.000 4.700 7.131
0.000 6.508 6.106
0.000 9.786 3.594
```

ΔE to the lowest computed polymorph: 0 meV/atom

=====

16.
This record from Alexandria describes PCl3 after structural relaxation. The functional is GGA-PBE.

```
PCl3
1.0
-2.624 -3.876 0.920
3.383 -2.750 -1.936
2.103 -0.413 4.262
P Cl
1 3
Cartesian
0.000 0.000 0.000
1.692 -1.375 -0.968
1.052 -0.206 2.131
-1.312 -1.938 0.460
```

=====

17.
This record from Alexandria describes PCl after structural relaxation. The functional is GGA-PBE.

```
PCl
1.0
4.133 0.000 0.000
-2.067 3.579 0.000
0.000 0.000 9.635
Cl P
2 2
Cartesian
2.067 1.193 2.510
0.000 2.386 7.327
2.067 1.193 7.915
0.000 2.386 3.097
```

ΔE to the lowest computed polymorph: 1361 meV/atom

=====

18.
This record from Alexandria describes P4Cl5 after structural relaxation. The functional is GGA-PBE.

```
P4Cl5
1.0
5.946 -2.411 -4.088
-5.656 -0.695 5.040
-4.741 -0.546 -5.924
Cl P
5 4
Cartesian
-1.791 -1.267 1.998
-1.389 -2.253 -1.342
-3.063 -1.399 -3.631
2.080 -1.839 -1.046
0.000 0.000 0.000
0.747 -1.834 -6.211
-6.451 -0.770 -0.549
-3.947 -0.471 -0.336
0.457 -1.122 -3.801
```

=====

19.
This record from Alexandria describes P2Cl after structural relaxation. The functional is GGA-PBE.

```
P2Cl
1.0
5.810 -0.028 0.000
3.943 4.267 0.000
-4.876 -2.119 2.342
P Cl
2 1
Cartesian
2.675 1.163 0.000
7.078 3.076 0.000
4.876 2.119 0.000
```

ΔE to the lowest computed polymorph: 351 meV/atom

=====

20.
This record from Alexandria describes P2Cl after structural relaxation. The functional is GGA-PBE.

```
P2Cl
1.0
-1.725 7.902 -0.856
-1.372 -8.002 -0.475
-1.924 0.064 4.475
Cl P
2 4
Cartesian
-1.906 -5.617 0.587
-3.116 5.581 2.557
-2.857 -6.089 2.836
-2.022 -0.372 0.461
-2.165 6.053 0.308
-2.999 0.336 2.683
```

ΔE to the lowest computed polymorph: 185 meV/atom

=====

no.,formation energy from raw total energies (meV per atom)
1,972
2,778
3,115
4,633
5,236
6,586
7,217
8,-358
9,-281
10,-278
11,-81
12,296
13,160
14,-344
15,-214
16,-287
17,1002
18,510
19,137
20,-28